Record 1
The following is a GGA-PBE calculation of an optimized crystal structure of Mn3SiBi, from Alexandria via LeMat-Bulk. Values from VASP.

## Properties
**Uncorrected formation energy**: 1.4630 eV/atom
**SG**: Pm-3m (221)
**Distance to the lowest polymorph of the same formula**: 1034 meV/atom

```
&SYSTEM
  ibrav = 0, nat = 5, ntyp = 3
/
ATOMIC_SPECIES
Mn 54.94 Mn.upf
Si 28.09 Si.upf
Bi 208.98 Bi.upf
CELL_PARAMETERS angstrom
5.1178 0.0000 0.0000
0.0000 5.1178 0.0000
0.0000 0.0000 5.1178
ATOMIC_POSITIONS crystal
Mn 0.0000 0.0000 0.5000
Mn 0.0000 0.5000 0.0000
Mn 0.5000 0.0000 0.0000
Si 0.5000 0.5000 0.5000
Bi 0.0000 0.0000 0.0000
```


Record 2
The following is a GGA-PBE calculation of an optimized crystal structure of Mn3SiBi, from Alexandria via LeMat-Bulk. Values from VASP.

## Properties
**Uncorrected formation energy**: 0.4294 eV/atom
**SG**: Pm-3m (221)
**Distance to the lowest polymorph of the same formula**: 0 meV/atom

```
&SYSTEM
  ibrav = 0, nat = 5, ntyp = 3
/
ATOMIC_SPECIES
Mn 54.94 Mn.upf
Si 28.09 Si.upf
Bi 208.98 Bi.upf
CELL_PARAMETERS angstrom
4.5316 0.0000 0.0000
0.0000 4.5316 0.0000
0.0000 0.0000 4.5316
ATOMIC_POSITIONS crystal
Mn 0.0000 0.0000 0.5000
Mn 0.0000 0.5000 0.0000
Mn 0.5000 0.0000 0.0000
Si 0.0000 0.0000 0.0000
Bi 0.5000 0.5000 0.5000
```


Record 3
The following is a GGA-PBE calculation of an optimized crystal structure of MnSiBi3, from Alexandria via LeMat-Bulk. Values from VASP.

## Properties
**Uncorrected formation energy**: 0.7684 eV/atom
**SG**: Pm-3m (221)
**Distance to the lowest polymorph of the same formula**: 0 meV/atom

```
&SYSTEM
  ibrav = 0, nat = 5, ntyp = 3
/
ATOMIC_SPECIES
Mn 54.94 Mn.upf
Si 28.09 Si.upf
Bi 208.98 Bi.upf
CELL_PARAMETERS angstrom
5.0957 0.0000 0.0000
0.0000 5.0957 0.0000
0.0000 0.0000 5.0957
ATOMIC_POSITIONS crystal
Mn 0.0000 0.0000 0.0000
Si 0.5000 0.5000 0.5000
Bi 0.0000 0.0000 0.5000
Bi 0.0000 0.5000 0.0000
Bi 0.5000 0.0000 0.0000
```


Record 4
The following is a GGA-PBE calculation of an optimized crystal structure of Mn2SiBi, from Alexandria via LeMat-Bulk. Values from VASP.

## Properties
**Uncorrected formation energy**: 0.5513 eV/atom
**SG**: I-42d (122)
**Distance to the lowest polymorph of the same formula**: 12 meV/atom

```
&SYSTEM
  ibrav = 0, nat = 16, ntyp = 3
/
ATOMIC_SPECIES
Mn 54.94 Mn.upf
Si 28.09 Si.upf
Bi 208.98 Bi.upf
CELL_PARAMETERS angstrom
4.5289 0.0000 0.0000
0.0000 4.5289 0.0000
0.0000 0.0000 16.4640
ATOMIC_POSITIONS crystal
Mn 0.1547 0.2500 0.1250
Mn 0.2500 0.6547 0.3750
Mn 0.2500 0.8453 0.8750
Mn 0.3453 0.2500 0.6250
Mn 0.6547 0.7500 0.6250
Mn 0.7500 0.1547 0.8750
Mn 0.7500 0.3453 0.3750
Mn 0.8453 0.7500 0.1250
Si 0.0000 0.0000 0.0000
Si 0.0000 0.5000 0.2500
Si 0.5000 0.0000 0.7500
Si 0.5000 0.5000 0.5000
Bi 0.0000 0.0000 0.5000
Bi 0.0000 0.5000 0.7500
Bi 0.5000 0.0000 0.2500
Bi 0.5000 0.5000 0.0000
```


Record 5
The following is a GGA-PBE calculation of an optimized crystal structure of Mn2SiBi, from Alexandria via LeMat-Bulk. Values from VASP.

## Properties
**Uncorrected formation energy**: 0.5390 eV/atom
**SG**: Fm-3m (225)
**Distance to the lowest polymorph of the same formula**: 0 meV/atom

```
&SYSTEM
  ibrav = 0, nat = 16, ntyp = 3
/
ATOMIC_SPECIES
Mn 54.94 Mn.upf
Si 28.09 Si.upf
Bi 208.98 Bi.upf
CELL_PARAMETERS angstrom
6.1570 0.0000 0.0000
0.0000 6.1570 0.0000
0.0000 0.0000 6.1570
ATOMIC_POSITIONS crystal
Mn 0.2500 0.2500 0.2500
Mn 0.2500 0.2500 0.7500
Mn 0.2500 0.7500 0.2500
Mn 0.2500 0.7500 0.7500
Mn 0.7500 0.2500 0.2500
Mn 0.7500 0.2500 0.7500
Mn 0.7500 0.7500 0.2500
Mn 0.7500 0.7500 0.7500
Si 0.0000 0.0000 0.0000
Si 0.0000 0.5000 0.5000
Si 0.5000 0.0000 0.5000
Si 0.5000 0.5000 0.0000
Bi 0.0000 0.0000 0.5000
Bi 0.0000 0.5000 0.0000
Bi 0.5000 0.0000 0.0000
Bi 0.5000 0.5000 0.5000
```


Record 6
The following is a GGA-PBE calculation of an optimized crystal structure of ZrMn2SiBi, from Alexandria via LeMat-Bulk. Values from VASP.

## Properties
**Uncorrected formation energy**: 0.2116 eV/atom
**SG**: P4/mmm (123)

```
&SYSTEM
  ibrav = 0, nat = 5, ntyp = 4
/
ATOMIC_SPECIES
Zr 91.22 Zr.upf
Mn 54.94 Mn.upf
Si 28.09 Si.upf
Bi 208.98 Bi.upf
CELL_PARAMETERS angstrom
4.5385 0.0000 0.0000
0.0000 4.5385 0.0000
0.0000 0.0000 5.0786
ATOMIC_POSITIONS crystal
Zr 0.0000 0.0000 0.0000
Mn 0.0000 0.5000 0.5000
Mn 0.5000 0.0000 0.5000
Si 0.0000 0.0000 0.5000
Bi 0.5000 0.5000 0.0000
```


Record 7
The following is a GGA-PBE calculation of an optimized crystal structure of Mn2SnBi2, from Alexandria via LeMat-Bulk. Values from VASP.

## Properties
**Energy relative to the elements**: 0.488 eV per atom
**SG**: I4/mmm (139)

```
&SYSTEM
  ibrav = 0, nat = 10, ntyp = 3
/
ATOMIC_SPECIES
Mn 54.94 Mn.upf
Sn 118.71 Sn.upf
Bi 208.98 Bi.upf
CELL_PARAMETERS angstrom
5.6620 0.0000 0.0000
0.0000 5.6620 0.0000
0.0000 0.0000 8.1155
ATOMIC_POSITIONS crystal
Mn 0.0000 0.0000 0.1676
Mn 0.0000 0.0000 0.8324
Mn 0.5000 0.5000 0.3324
Mn 0.5000 0.5000 0.6676
Sn 0.0000 0.0000 0.5000
Sn 0.5000 0.5000 0.0000
Bi 0.0000 0.5000 0.2500
Bi 0.0000 0.5000 0.7500
Bi 0.5000 0.0000 0.2500
Bi 0.5000 0.0000 0.7500
```


Record 8
The following is a GGA-PBE calculation of an optimized crystal structure of MnSn3Bi, from Alexandria via LeMat-Bulk. Values from VASP.

## Properties
**Energy relative to the elements**: 0.213 eV per atom
**SG**: Pm-3m (221)

```
&SYSTEM
  ibrav = 0, nat = 5, ntyp = 3
/
ATOMIC_SPECIES
Mn 54.94 Mn.upf
Sn 118.71 Sn.upf
Bi 208.98 Bi.upf
CELL_PARAMETERS angstrom
5.1409 0.0000 0.0000
0.0000 5.1409 0.0000
0.0000 0.0000 5.1409
ATOMIC_POSITIONS crystal
Mn 0.0000 0.0000 0.0000
Sn 0.0000 0.0000 0.5000
Sn 0.0000 0.5000 0.0000
Sn 0.5000 0.0000 0.0000
Bi 0.5000 0.5000 0.5000
```